An optimized crystal structure of Tb2PrNd4Er, computed with GGA-PBE.

Values from the calculation:
Energy of formation from the pure elements = 0.016 eV per atom

Lattice parameters (Å, degrees): 3.6467 6.2845 12.0101 79.79 90.00 90.00
Atoms (fractional coordinates):
Tb (0.0000, 0.0000, 0.0000)
Tb (0.5000, 0.0000, 0.5000)
Pr (0.5000, 0.5000, 0.0000)
Nd (0.0000, 0.7514, 0.7467)
Nd (0.0000, 0.2486, 0.2533)
Nd (0.5000, 0.7497, 0.2525)
Nd (0.5000, 0.2503, 0.7475)
Er (0.0000, 0.5000, 0.5000)



An optimized crystal structure of TbPr2NdEr2, computed with GGA-PBE.

Values from the calculation:
Energy of formation from the pure elements = 0.065 eV per atom

Lattice parameters (Å, degrees): 5.7116 7.0867 9.8878 90.00 90.00 90.00
Atoms (fractional coordinates):
Tb (0.0000, 0.0076, 0.4999)
Tb (0.0000, 0.5076, 0.5001)
Pr (0.5000, 0.0076, 0.0002)
Pr (0.0000, 0.2577, 0.1746)
Pr (0.5000, 0.5076, 0.9998)
Pr (0.0000, 0.7577, 0.8254)
Nd (0.5000, 0.2575, 0.6604)
Nd (0.5000, 0.7575, 0.3396)
Er (0.0000, 0.2576, 0.8349)
Er (0.5000, 0.2575, 0.3326)
Er (0.0000, 0.7576, 0.1651)
Er (0.5000, 0.7575, 0.6674)



An optimized crystal structure of Tb4PrNd2Er, computed with GGA-PBE.

Values from the calculation:
Energy of formation from the pure elements = 0.017 eV per atom

Lattice parameters (Å, degrees): 5.1077 5.0918 11.3738 63.41 90.00 90.00
Atoms (fractional coordinates):
Tb (0.0000, 0.7530, 0.7466)
Tb (0.0000, 0.2470, 0.2534)
Tb (0.5000, 0.7481, 0.2532)
Tb (0.5000, 0.2519, 0.7468)
Pr (0.5000, 0.5000, 0.0000)
Nd (0.0000, 0.0000, 0.0000)
Nd (0.5000, 0.0000, 0.5000)
Er (0.0000, 0.5000, 0.5000)



An optimized crystal structure of Tb6Pr2NdEr3, computed with GGA-PBE.

Values from the calculation:
Energy of formation from the pure elements = 0.020 eV per atom

Lattice parameters (Å, degrees): 6.2088 6.2088 11.8647 94.99 94.99 119.98
Atoms (fractional coordinates):
Tb (0.9144, 0.5812, 0.7446)
Tb (0.7525, 0.7525, 0.2554)
Tb (0.0856, 0.4188, 0.2554)
Tb (0.5812, 0.9144, 0.7446)
Tb (0.2475, 0.2475, 0.7446)
Tb (0.4188, 0.0856, 0.2554)
Pr (0.3333, 0.6667, 0.0000)
Pr (0.6667, 0.3333, 0.0000)
Nd (0.0000, 0.0000, 0.0000)
Er (0.1666, 0.8334, 0.5000)
Er (0.8334, 0.1666, 0.5000)
Er (0.5000, 0.5000, 0.5000)



An optimized crystal structure of TbPrNd2Er5, computed with GGA-PBE.

Values from the calculation:
Energy of formation from the pure elements = 0.259 eV per atom

Lattice parameters (Å, degrees): 8.7244 8.7244 9.8793 116.20 116.20 90.00
Atoms (fractional coordinates):
Tb (0.2500, 0.7500, 0.5000)
Tb (0.7500, 0.2500, 0.5000)
Pr (0.2500, 0.2500, 0.5000)
Pr (0.7500, 0.7500, 0.5000)
Nd (0.1167, 0.3833, 0.0000)
Nd (0.6167, 0.1167, 0.0000)
Nd (0.3833, 0.8833, 0.0000)
Nd (0.8833, 0.6167, 0.0000)
Er (0.9273, 0.4273, 0.2749)
Er (0.6523, 0.1523, 0.7251)
Er (0.0727, 0.5727, 0.7251)
Er (0.1523, 0.0727, 0.7251)
Er (0.5727, 0.6523, 0.7251)
Er (0.8477, 0.9273, 0.2749)
Er (0.4273, 0.3477, 0.2749)
Er (0.3477, 0.8477, 0.2749)
Er (0.5000, 0.5000, 0.0000)
Er (0.0000, 0.0000, 0.0000)



An optimized crystal structure of Pr3Nd4ErTe8, computed with GGA-PBE.

Values from the calculation:
Formation energy (no corrections) = -1.395 eV per atom

Lattice parameters (Å, degrees): 8.9966 8.9714 8.9875 120.01 120.03 90.00
Atoms (fractional coordinates):
Pr (0.5000, 0.5000, 0.0000)
Pr (0.5000, 0.5000, 0.5000)
Pr (0.0000, 0.5000, 0.5000)
Nd (0.5000, 0.0000, 0.0000)
Nd (0.5000, 0.0000, 0.5000)
Nd (0.0000, 0.0000, 0.0000)
Nd (0.0000, 0.0000, 0.5000)
Er (0.0000, 0.5000, 0.0000)
Te (0.2443, 0.7460, 0.0017)
Te (0.2444, 0.7461, 0.4887)
Te (0.2491, 0.2474, 0.4982)
Te (0.7574, 0.7460, 0.0017)
Te (0.2426, 0.2540, 0.9983)
Te (0.7509, 0.7526, 0.5018)
Te (0.7556, 0.2539, 0.5113)
Te (0.7557, 0.2540, 0.9983)



An optimized crystal structure of Pr3Nd2ErTe6, computed with GGA-PBE.

Values from the calculation:
Formation energy (no corrections) = -1.399 eV per atom

Lattice parameters (Å, degrees): 4.4495 9.0406 10.0415 102.96 102.80 90.00
Atoms (fractional coordinates):
Pr (0.5000, 0.5000, 0.0000)
Pr (0.8272, 0.1651, 0.6544)
Pr (0.1728, 0.8349, 0.3456)
Nd (0.8300, 0.6633, 0.6599)
Nd (0.1700, 0.3367, 0.3401)
Er (0.5000, 0.0000, 0.0000)
Te (0.3407, 0.9188, 0.6814)
Te (0.6654, 0.5813, 0.3309)
Te (0.6593, 0.0812, 0.3186)
Te (0.9992, 0.2373, 0.9984)
Te (0.0008, 0.7627, 0.0016)
Te (0.3346, 0.4187, 0.6691)



An optimized crystal structure of PrNd2ErTe5, computed with GGA-PBE.

Values from the calculation:
Formation energy (no corrections) = -0.855 eV per atom

Lattice parameters (Å, degrees): 5.5002 5.5002 11.8445 90.00 90.00 90.00
Last column: magnetic moment on the atom in μB.
Atoms (fractional coordinates):
Pr (0.0000, 0.0000, 0.0000)  0.01
Nd (0.5000, 0.5000, 0.3423)  0.13
Nd (0.5000, 0.5000, 0.6577)  0.13
Er (0.0000, 0.0000, 0.5000)  0.02
Te (0.0000, 0.5000, 0.5000)  0.00
Te (0.5000, 0.0000, 0.5000)  0.00
Te (0.0000, 0.0000, 0.7484)  0.00
Te (0.0000, 0.0000, 0.2516)  0.00
Te (0.5000, 0.5000, 0.0000)  0.01